No. 1
K6CdCl8: optimized geometry, PBE-GGA.

The space group is Fm-3m (No. 225) and the conventional cell measures 12.451, 12.451 and 12.451 Å, with angles of 90.00, 90.00 and 90.00 degrees. The asymmetric unit holds K at (0.000, 0.250, 0.250), Cd at (0.000, 0.000, 0.000), Cl at (0.000, 0.000, 0.216) and Cl at (0.250, 0.250, 0.250).

---

No. 2
K2Cd3Cl8: optimized geometry, PBE-GGA.

The space group is C2/m (No. 12) and the conventional cell measures 14.984, 7.902 and 6.855 Å, with angles of 90.00, 108.39 and 90.00 degrees. The asymmetric unit holds K at (0.232, 0.000, 0.169), Cd at (0.000, 0.241, 0.500), Cd at (0.000, 0.500, 0.000), Cl at (0.102, 0.500, 0.406), Cl at (0.103, 0.271, 0.894) and Cl at (0.114, 0.000, 0.463).

---

No. 3
K2LiCdCl6: optimized geometry, PBE-GGA.

The space group is Fm-3m (No. 225) and the conventional cell measures 10.088, 10.088 and 10.088 Å, with angles of 90.00, 90.00 and 90.00 degrees. The asymmetric unit holds K at (0.250, 0.250, 0.250), Li at (0.000, 0.000, 0.000), Cd at (0.000, 0.000, 0.500) and Cl at (0.000, 0.000, 0.244).

---

Number 1: calculated total energy -3.279 eV per atom. Number 2: calculated total energy -2.893 eV per atom. Number 3: calculated total energy -2.977 eV per atom.